Crystalline CaYW2 at its relaxed geometry. Source: Alexandria via LeMat-Bulk, functional GGA-PBE.

Unit cell a=3.8441 b=4.2420 c=5.0835 alpha=90.00 beta=90.00 gamma=90.00
Atoms (fractional coordinates):
Ca1 0.0000 0.0000 0.0000
Y1 0.5000 0.5000 0.0000
W1 0.0000 0.5000 0.5000
W2 0.5000 0.0000 0.5000

Summary:
- Distance to the lowest polymorph of the same formula: 464 meV per atom



Crystalline CaY2W at its relaxed geometry. Source: Alexandria via LeMat-Bulk, functional GGA-PBE.

Unit cell a=5.7464 b=5.7464 c=3.2968 alpha=90.00 beta=90.00 gamma=107.26
Atoms (fractional coordinates):
Ca1 0.0000 0.0000 0.0000
Y1 0.0000 0.5000 0.5000
Y2 0.5000 0.0000 0.5000
W1 0.5000 0.5000 0.0000

Summary:
- Distance to the lowest polymorph of the same formula: 304 meV per atom



Crystalline CaY2W at its relaxed geometry. Source: Alexandria via LeMat-Bulk, functional GGA-PBE.

Unit cell a=8.3775 b=8.3775 c=8.3775 alpha=124.32 beta=124.32 gamma=82.66
Atoms (fractional coordinates):
Ca1 0.3750 0.6250 0.7500
Ca2 0.6250 0.3750 0.2500
Y1 0.0000 0.0000 0.0000
Y2 0.0000 0.0000 0.5000
Y3 0.0000 0.5000 0.0000
Y4 0.5000 0.0000 0.5000
W1 0.1250 0.8750 0.2500
W2 0.8750 0.1250 0.7500

Summary:
- Distance to the lowest polymorph of the same formula: 1068 meV per atom



Crystalline CaYW2 at its relaxed geometry. Source: Alexandria via LeMat-Bulk, functional GGA-PBE.

Unit cell a=3.3327 b=3.3327 c=8.7158 alpha=90.00 beta=90.00 gamma=90.00
Atoms (fractional coordinates):
Ca1 0.0000 0.0000 0.0000
Y1 0.5000 0.5000 0.6288
W1 0.0000 0.0000 0.3971
W2 0.5000 0.5000 0.2554

Summary:
- Distance to the lowest polymorph of the same formula: 0 meV per atom



Crystalline Ca4YW at its relaxed geometry. Source: Alexandria via LeMat-Bulk, functional GGA-PBE.

Unit cell a=6.5504 b=6.5504 c=6.5504 alpha=60.00 beta=60.00 gamma=60.00
Atoms (fractional coordinates):
Ca1 0.1246 0.1246 0.1246
Ca2 0.1246 0.1246 0.6261
Ca3 0.1246 0.6261 0.1246
Ca4 0.6261 0.1246 0.1246
Y1 0.5000 0.5000 0.5000
W1 0.7500 0.7500 0.7500



Crystalline Ca2ZnW at its relaxed geometry. Source: Alexandria via LeMat-Bulk, functional GGA-PBE.

Unit cell a=2.9827 b=2.9827 c=9.8882 alpha=90.00 beta=90.00 gamma=90.00
Atoms (fractional coordinates):
Ca1 0.0000 0.0000 0.2483
Ca2 0.0000 0.0000 0.7517
Zn1 0.5000 0.5000 0.5000
W1 0.5000 0.5000 0.0000



Short version: density of states at the Fermi level = 3.6, 5.1, 3.2, 4.8, 8.7, 3.9 states/eV per cell, in the order given.
Short version: calculated formation energy = 0.858, 0.688, 1.452, 0.394, 1.049, 0.540 eV/atom, in the order given.
Short version: E = -30.94, -25.13, -44.15, -32.80, -21.13, -16.07 eV for the cell shown, in the order given.